1.
Computed, not measured: an optimized crystal structure of TcAs2PdO at the PBE level of DFT.

a b c (Å): 4.630 3.753 4.630
angles (deg): 90.00 90.00 90.00
Atoms (fractional coordinates):
Tc 0.000 0.500 0.000
As 0.000 0.000 0.500
O 0.000 0.000 0.000
As 0.500 0.000 0.000
Pd 0.500 0.500 0.500

Uncorrected formation energy (eV/atom): 0.206
Crystal system: tetragonal
D(E_F) (states/eV per atom): 0.494

***

2.
Computed, not measured: an optimized crystal structure of ThAsPdO at the PBE level of DFT.

a b c (Å): 4.082 4.082 8.428
angles (deg): 90.00 90.00 90.00
Atoms (fractional coordinates):
O 0.500 0.500 0.000
Th 0.500 0.000 0.156
O 0.000 0.000 0.000
As 0.500 0.000 0.683
As 0.000 0.500 0.317
Th 0.000 0.500 0.844
Pd 0.500 0.500 0.500
Pd 0.000 0.000 0.500

Uncorrected formation energy (eV/atom): -1.956
Crystal system: tetragonal
D(E_F) (states/eV per atom): 1.038

***

3.
Computed, not measured: an optimized crystal structure of TiAsPdO2 at the PBE level of DFT.

a b c (Å): 3.861 4.864 3.861
angles (deg): 90.00 90.00 90.00
Atoms (fractional coordinates):
O 0.000 0.000 0.500
Pd 0.000 0.500 0.000
O 0.500 0.000 0.000
As 0.000 0.000 0.000
Ti 0.500 0.500 0.500

Uncorrected formation energy (eV/atom): -0.232
Crystal system: tetragonal
D(E_F) (states/eV per atom): 0.684

***

4.
Computed, not measured: an optimized crystal structure of TlAs2PdO6 at the PBE level of DFT.

a b c (Å): 4.987 8.446 8.446
angles (deg): 94.97 85.39 85.39
Last column: magnetic moment on the atom in μB.
Atoms (fractional coordinates):
O 0.525 0.383 0.296  0.01
O 0.265 0.948 0.769  0.01
As 0.795 0.633 0.791  0.01
Tl 0.250 0.873 0.127  0.01
O 0.235 0.231 0.052  0.01
Tl 0.750 0.127 0.873  0.01
O 0.406 0.808 0.441  0.03
As 0.295 0.791 0.633  0.01
O 0.094 0.559 0.192  0.03
O 0.975 0.704 0.617  0.01
Pd 0.250 0.328 0.672  0.75
O 0.735 0.052 0.231  0.01
O 0.906 0.441 0.808  0.03
O 0.594 0.192 0.559  0.03
As 0.705 0.209 0.367  0.01
Pd 0.750 0.672 0.328  0.75
O 0.765 0.769 0.948  0.01
As 0.205 0.367 0.209  0.01
O 0.025 0.296 0.383  0.01
O 0.475 0.617 0.704  0.01

Uncorrected formation energy (eV/atom): -0.839
Crystal system: monoclinic

***

5.
Computed, not measured: an optimized crystal structure of TmAs2PdO8 at the PBE level of DFT.

a b c (Å): 5.894 5.894 5.894
angles (deg): 106.93 106.93 114.69
Last column: magnetic moment on the atom in μB.
Atoms (fractional coordinates):
Tm 0.250 0.750 0.500  0.02
O 0.936 0.255 0.319  0.09
O 0.324 0.139 0.815  0.14
O 0.383 0.064 0.319  0.09
O 0.745 0.064 0.681  0.09
As 0.500 0.500 0.000  -0.01
O 0.861 0.676 0.185  0.14
Pd 0.000 0.000 0.000  1.31
O 0.491 0.676 0.815  0.14
As 0.750 0.250 0.500  0.02
O 0.936 0.617 0.681  0.09
O 0.324 0.509 0.185  0.14

Uncorrected formation energy (eV/atom): -1.376
Crystal system: tetragonal
D(E_F) (states/eV per atom): 0.570

***

6.
Computed, not measured: an optimized crystal structure of ZnAs2PdO8 at the PBE level of DFT.

a b c (Å): 5.728 5.728 5.728
angles (deg): 107.86 107.86 112.75
Last column: magnetic moment on the atom in μB.
Atoms (fractional coordinates):
Zn 0.000 0.000 0.000  0.02
Pd 0.250 0.750 0.500  0.94
O 0.308 0.123 0.816  0.09
O 0.378 0.068 0.310  0.21
As 0.500 0.500 0.000  0.01
O 0.877 0.692 0.184  0.09
As 0.750 0.250 0.500  -0.02
O 0.308 0.492 0.184  0.09
O 0.932 0.243 0.310  0.21
O 0.508 0.692 0.816  0.09
O 0.757 0.068 0.690  0.21
O 0.932 0.622 0.690  0.21

Uncorrected formation energy (eV/atom): -0.684
Crystal system: tetragonal
D(E_F) (states/eV per atom): 0.432

***

7.
Computed, not measured: an optimized crystal structure of ZrAs2PdO at the PBE level of DFT.

a b c (Å): 4.892 3.889 4.892
angles (deg): 90.00 90.00 90.00
Atoms (fractional coordinates):
Zr 0.500 0.500 0.500
As 0.000 0.000 0.500
O 0.000 0.500 0.000
Pd 0.000 0.000 0.000
As 0.500 0.000 0.000

Uncorrected formation energy (eV/atom): -0.030
Crystal system: tetragonal
D(E_F) (states/eV per atom): 0.506

***

8.
Computed, not measured: an optimized crystal structure of Pm2AsO at the PBE level of DFT.

a b c (Å): 5.828 5.830 10.821
angles (deg): 92.26 90.00 90.00
Atoms (fractional coordinates):
Pm 0.231 0.960 0.641
As 0.734 0.497 0.875
As 0.266 0.997 0.375
Pm 0.769 0.460 0.141
As 0.266 0.503 0.125
O 0.185 0.559 0.623
O 0.185 0.941 0.877
Pm 0.784 0.996 0.891
O 0.815 0.059 0.123
Pm 0.231 0.540 0.859
Pm 0.216 0.004 0.109
As 0.734 0.003 0.625
O 0.815 0.441 0.377
Pm 0.784 0.504 0.609
Pm 0.216 0.496 0.391
Pm 0.769 0.040 0.359

Uncorrected formation energy (eV/atom): -1.988
Crystal system: monoclinic
Energy above the most stable polymorph in this dataset (eV/atom): 0.0000
D(E_F) (states/eV per atom): 0.373

***

9.
Computed, not measured: an optimized crystal structure of Pm3AsO3 at the PBE level of DFT.

a b c (Å): 6.863 6.863 8.134
angles (deg): 65.05 65.05 60.00
Atoms (fractional coordinates):
Pm 0.259 0.543 0.292
Pm 0.741 0.457 0.708
Pm 0.457 0.093 0.708
O 0.133 0.433 0.627
O 0.867 0.567 0.373
Pm 0.907 0.259 0.292
O 0.433 0.807 0.627
As 0.667 0.667 0.000
Pm 0.093 0.741 0.708
Pm 0.543 0.907 0.292
As 0.333 0.333 0.000
O 0.807 0.133 0.627
O 0.567 0.193 0.373
O 0.193 0.867 0.373

Uncorrected formation energy (eV/atom): -2.768
Crystal system: trigonal

***

10.
Computed, not measured: an optimized crystal structure of Pm2AsO5 at the PBE level of DFT.

a b c (Å): 5.631 6.027 6.617
angles (deg): 127.40 121.79 92.25
Atoms (fractional coordinates):
O 0.255 0.791 0.898
O 0.086 0.995 0.298
O 0.611 0.611 0.582
As 0.997 0.998 0.970
Pm 0.810 0.233 0.453
O 0.996 0.087 0.728
Pm 0.232 0.809 0.533
O 0.790 0.255 0.092

Uncorrected formation energy (eV/atom): -2.477
Crystal system: triclinic
Energy above the most stable polymorph in this dataset (eV/atom): 0.0790
D(E_F) (states/eV per atom): 0.244

***

11.
Computed, not measured: an optimized crystal structure of Pm2AsO at the PBE level of DFT.

a b c (Å): 3.806 3.806 7.205
angles (deg): 74.68 74.68 60.00
Atoms (fractional coordinates):
As 0.668 0.668 0.996
O 0.495 0.495 0.514
Pm 0.090 0.090 0.729
Pm 0.246 0.246 0.261

Uncorrected formation energy (eV/atom): -1.790
Crystal system: trigonal
Energy above the most stable polymorph in this dataset (eV/atom): 0.1981
D(E_F) (states/eV per atom): 0.615